No. 1
DFT (PBE-GGA) results for an optimized crystal structure of RbVBr3.

abc: 7.5368 7.5368 6.5354
angles: 90.00 90.00 120.00
Closest atoms and distances in Å follow each position.
Space group P6_3/mmc (No. 194)
Symmetry-distinct sites (fractional):
1 Rb 0.3333 0.6667 0.2500  12 Br 3.77-3.98
2 V 0.0000 0.0000 0.0000  6 Br 2.65
3 Br 0.1595 0.3190 0.7500  2 V 2.65

Calculated values
The value obtained for the energy above the most stable polymorph in this dataset is 1.7 meV per atom. The formation energy from raw total energies is -1195 meV/atom. Its size of the total moment is 6.0 μB per cell. As for the total energy: -4.22 eV per atom.


No. 2
DFT (PBE-GGA) results for an optimized crystal structure of RbVBr2.

abc: 4.1426 4.1426 29.1171
angles: 90.00 90.00 120.00
Closest atoms and distances in Å follow each position.
Space group R-3m (No. 166, hexagonal axes)
Symmetry-distinct sites (fractional):
1 Rb 0.0000 0.0000 0.0000  2 Br 3.50
2 V 0.0000 0.0000 0.5000  6 Br 2.75
3 Br 0.0000 0.0000 0.1202  3 V 2.75

Calculated values
The value obtained for the energy above the most stable polymorph in this dataset is 64.9 meV per atom. The formation energy from raw total energies is -538 meV/atom. Its size of the total moment is 10.2 μB per cell. As for the total energy: -3.90 eV per atom.


No. 3
DFT (PBE-GGA) results for an optimized crystal structure of Rb2VBr7.

abc: 8.4232 8.4232 10.7274
angles: 90.00 90.00 90.00
Closest atoms and distances in Å follow each position.
Space group I4/mmm (No. 139)
Symmetry-distinct sites (fractional):
1 Rb 0.0000 0.5000 0.2500  12 Br 4.04-4.21
2 V 0.0000 0.0000 0.0000  6 Br 2.48-2.55
3 Br 0.0000 0.0000 0.2379  1 V 2.55, 1 Br 2.81
4 Br 0.0000 0.0000 0.5000  2 Br 2.81
5 Br 0.2081 0.2081 0.0000  1 V 2.48

Calculated values
The formation energy from raw total energies is -967 meV/atom. Its size of the total moment is 2.0 μB per cell. As for the total energy: -3.24 eV per atom.


No. 4
DFT (PBE-GGA) results for an optimized crystal structure of RbVBr5.

abc: 7.8527 9.0625 9.0429
angles: 90.00 90.00 90.00
Closest atoms and distances in Å follow each position.
Space group Imm2 (No. 44)
Symmetry-distinct sites (fractional):
1 Rb 0.0000 0.0000 0.0000  4 Br 3.42-3.61
2 V 0.0000 0.5000 0.7068  5 Br 2.36-2.48
3 Br 0.0000 0.2268 0.6981  1 V 2.48
4 Br 0.0000 0.5000 0.4427  1 V 2.39
5 Br 0.2415 0.0000 0.3403  1 V 2.36

Calculated values
The formation energy from raw total energies is -1005 meV/atom. Its size of the total moment is 2.0 μB per cell. As for the total energy: -3.64 eV per atom.